CaPm12Tm7 after structural relaxation, computed with PBE.

abc: 10.0379 10.0379 10.0379
angles: 109.47 109.47 109.47
Fractional coordinates of all 20 atoms:
Pm 0.2663 0.2666 0.5328
Pm 0.7334 0.4672 0.7337
Tm 0.5000 0.5000 0.5000
Pm 0.0003 0.7337 0.2666
Pm 0.4672 0.7337 0.7334
Pm 0.7337 0.2666 0.0003
Pm 0.2663 0.7334 0.9997
Tm 0.5000 0.5000 0.0000
Tm 0.5000 0.0000 0.5000
Pm 0.7337 0.7334 0.4672
Pm 0.7334 0.9997 0.2663
Tm 0.0000 0.5000 0.0000
Pm 0.2666 0.5328 0.2663
Tm 0.0000 0.0000 0.5000
Pm 0.2666 0.0003 0.7337
Pm 0.9997 0.2663 0.7334
Tm 0.5000 0.0000 0.0000
Ca 0.0000 0.0000 0.0000
Pm 0.5328 0.2663 0.2666
Tm 0.0000 0.5000 0.5000

Computed properties:
As for the density of states at the Fermi level: 25.9 states/eV per cell. The value obtained for the calculated formation energy is 13.01 eV/f.u. The magnetic moment comes out at 0.000 μB/f.u. The calculation puts the uncorrected energy at -3.8648 eV per atom.


PaNbZn after structural relaxation, computed with PBE.

abc: 2.9644 2.9644 7.0272
angles: 102.18 102.18 90.00
Fractional coordinates of all 3 atoms:
Pa 0.0032 0.0032 0.0064
Zn 0.6768 0.6768 0.3535
Nb 0.3200 0.3200 0.6400

Computed properties:
As for the density of states at the Fermi level: 2.3 states/eV per cell. The value obtained for the calculated formation energy is 0.13 eV/f.u. The magnetic moment comes out at 0.000 μB/f.u. The calculation puts the uncorrected energy at -6.9027 eV per atom. The calculation puts the distance to the lowest polymorph of the same formula at 0.00 kcal/mol of atoms.


Ce4SiSbTe2 after structural relaxation, computed with PBE.

abc: 4.4056 7.6834 7.7050
angles: 70.86 90.00 90.00
Fractional coordinates of all 8 atoms:
Ce 0.5000 0.2713 0.7310
Sb 0.5000 0.5000 0.0000
Te 0.0000 0.0000 0.0000
Ce 0.0000 0.2631 0.2583
Ce 0.5000 0.7287 0.2690
Te 0.5000 0.0000 0.5000
Si 0.0000 0.5000 0.5000
Ce 0.0000 0.7369 0.7417

Computed properties:
As for the uncorrected formation energy: -1.101 eV per atom. As for the density of states at the Fermi level: 24.9 states/eV per cell. The magnetic moment comes out at 3.724 μB/f.u. The calculation puts the uncorrected energy at -6.0466 eV per atom.


Tl4CoBr6 after structural relaxation, computed with PBE.

abc: 8.0777 8.4624 15.8896
angles: 72.15 75.27 61.49
Fractional coordinates of all 22 atoms:
Br 0.0466 0.1328 0.2519
Br 0.5687 0.6328 0.7519
Br 0.9514 0.6071 0.8998
Br 0.9101 0.0524 0.6290
Br 0.5416 0.1071 0.3998
Br 0.4283 0.6781 0.4997
Br 0.7053 0.7214 0.2655
Br 0.4085 0.5524 0.1290
Tl 0.0636 0.4885 0.1124
Co 0.1455 0.2828 0.9104
Co 0.6613 0.7828 0.4104
Br 0.3077 0.2214 0.7655
Tl 0.9761 0.6359 0.6724
Tl 0.2828 0.7057 0.3107
Tl 0.4673 0.7866 0.9325
Br 0.3939 0.1781 0.9997
Tl 0.8135 0.2866 0.4325
Br 0.9792 0.0947 0.9699
Tl 0.7008 0.2057 0.8107
Tl 0.7155 0.1359 0.1724
Br 0.9562 0.5947 0.4699
Tl 0.3355 0.9885 0.6124

Computed properties:
As for the uncorrected formation energy: -0.689 eV per atom. The magnetic moment comes out at 3.000 μB/f.u. The calculation puts the uncorrected energy at -3.1083 eV per atom.


Tm5Te2Pb2 after structural relaxation, computed with PBE.

abc: 8.1201 8.0591 8.6320
angles: 117.83 90.00 90.00
Fractional coordinates of all 18 atoms:
Te 0.5000 0.2987 0.5974
Te 0.0000 0.2013 0.4026
Tm 0.6605 0.0255 0.7276
Pb 0.6425 0.8561 0.0000
Pb 0.1425 0.6439 0.0000
Tm 0.5000 0.5000 0.0000
Tm 0.3395 0.9745 0.2724
Tm 0.6605 0.2979 0.2724
Tm 0.1605 0.4745 0.2724
Pb 0.3575 0.1439 0.0000
Tm 0.8395 0.5255 0.7276
Tm 0.8395 0.7979 0.2724
Tm 0.1605 0.2021 0.7276
Tm 0.0000 0.0000 0.0000
Tm 0.3395 0.7021 0.7276
Te 0.5000 0.7013 0.4026
Te 0.0000 0.7987 0.5974
Pb 0.8575 0.3561 0.0000

Computed properties:
As for the uncorrected formation energy: -0.755 eV per atom. As for the density of states at the Fermi level: 17.1 states/eV per cell. The magnetic moment comes out at 0.000 μB/f.u. The calculation puts the uncorrected energy at -4.7612 eV per atom. The calculation puts the distance to the lowest polymorph of the same formula at 0.00 kcal/mol of atoms.


K3Ho2ThTe6 after structural relaxation, computed with PBE.

abc: 7.7554 7.7554 8.7049
angles: 98.54 98.54 120.00
Fractional coordinates of all 12 atoms:
Te 0.0708 0.4091 0.2122
Te 0.7322 0.7322 0.2119
Te 0.9292 0.5909 0.7878
K 0.8344 0.1656 0.5000
Ho 0.6668 0.3332 0.0000
Te 0.5909 0.9292 0.7878
Th 0.0000 0.0000 0.0000
K 0.1656 0.8344 0.5000
Ho 0.3332 0.6668 0.0000
K 0.5000 0.5000 0.5000
Te 0.4091 0.0708 0.2122
Te 0.2678 0.2678 0.7881

Computed properties:
As for the uncorrected formation energy: -1.310 eV per atom. As for the density of states at the Fermi level: 4.6 states/eV per cell. The magnetic moment comes out at 0.000 μB/f.u. The calculation puts the uncorrected energy at -4.5364 eV per atom.


Li5Ca4Cd after structural relaxation, computed with PBE.

abc: 5.5777 7.7477 7.7477
angles: 82.56 68.90 68.90
Fractional coordinates of all 10 atoms:
Li 0.2178 0.0000 0.6566
Ca 0.5560 0.2978 0.7022
Cd 0.7888 0.0000 0.0000
Li 0.8744 0.3434 0.0000
Li 0.8744 0.0000 0.3434
Li 0.2177 0.6566 0.0000
Ca 0.8538 0.7022 0.7022
Ca 0.2583 0.2978 0.2978
Ca 0.5560 0.7022 0.2978
Li 0.2925 0.0000 0.0000

Computed properties:
As for the density of states at the Fermi level: 6.6 states/eV per cell. The value obtained for the calculated formation energy is -0.51 eV/f.u. The magnetic moment comes out at 0.000 μB/f.u. The calculation puts the uncorrected energy at -1.9000 eV per atom.


Gd2CuSn after structural relaxation, computed with PBE.

abc: 3.5576 3.5576 7.7259
angles: 90.00 90.00 90.00
Fractional coordinates of all 4 atoms:
Gd 0.0000 0.0000 0.7736
Gd 0.0000 0.0000 0.2264
Sn 0.5000 0.5000 0.5000
Cu 0.5000 0.5000 0.0000

Computed properties:
As for the density of states at the Fermi level: 3.6 states/eV per cell. The value obtained for the calculated formation energy is -1.76 eV/f.u. The magnetic moment comes out at 14.578 μB/f.u. The calculation puts the uncorrected energy at -9.5043 eV per atom.


K2CdRe after structural relaxation, computed with PBE.

abc: 2.8767 2.8767 11.9530
angles: 90.00 90.00 90.00
Fractional coordinates of all 4 atoms:
Cd 0.5000 0.5000 0.7500
Re 0.5000 0.5000 0.2500
K 0.0000 0.0000 0.4829
K 0.0000 0.0000 0.0171

Computed properties:
As for the density of states at the Fermi level: 3.3 states/eV per cell. The value obtained for the calculated formation energy is 4.09 eV/f.u. The magnetic moment comes out at 0.000 μB/f.u. The calculation puts the uncorrected energy at -2.8669 eV per atom.


RbPdI after structural relaxation, computed with PBE.

abc: 16.5446 6.7580 6.7580
angles: 142.97 146.30 33.70
Fractional coordinates of all 6 atoms:
Pd 0.0979 0.4719 0.5281
Pd 0.3008 0.6943 0.3057
I 0.9347 0.2399 0.7601
Rb 0.3622 0.8881 0.1119
I 0.5033 0.9956 0.0044
Rb 0.8798 0.0297 0.9703

Computed properties:
As for the uncorrected formation energy: -0.562 eV per atom. As for the density of states at the Fermi level: 0.6 states/eV per cell. The magnetic moment comes out at 0.000 μB/f.u. The calculation puts the uncorrected energy at -3.1326 eV per atom. The calculation puts the distance to the lowest polymorph of the same formula at 2.54 kcal/mol of atoms.


Ba3Mg after structural relaxation, computed with PBE.

abc: 4.3213 4.1287 12.4377
angles: 90.00 90.00 90.00
Fractional coordinates of all 4 atoms:
Ba 0.5000 0.5000 0.1549
Ba 0.5000 0.0000 0.7396
Mg 0.0000 0.0000 0.9792
Ba 0.0000 0.5000 0.4597

Computed properties:
As for the density of states at the Fermi level: 5.6 states/eV per cell. The value obtained for the calculated formation energy is 0.59 eV/f.u. The magnetic moment comes out at 0.000 μB/f.u. The calculation puts the uncorrected energy at -1.6936 eV per atom. The calculation puts the distance to the lowest polymorph of the same formula at 3.72 kcal/mol of atoms.


MnIn2NiCl after structural relaxation, computed with PBE.

abc: 5.1783 4.4251 5.1783
angles: 90.00 90.00 90.00
Fractional coordinates of all 5 atoms:
In 0.0000 0.0000 0.5000
Mn 0.5000 0.5000 0.5000
In 0.5000 0.0000 0.0000
Cl 0.0000 0.5000 0.0000
Ni 0.0000 0.0000 0.0000

Computed properties:
As for the uncorrected formation energy: 0.373 eV per atom. As for the density of states at the Fermi level: 4.6 states/eV per cell. The magnetic moment comes out at 4.302 μB/f.u. The calculation puts the uncorrected energy at -4.0819 eV per atom.


SnPdW2 after structural relaxation, computed with PBE.

abc: 7.4444 7.4444 5.9107
angles: 50.97 50.97 90.00
Fractional coordinates of all 8 atoms:
Sn 0.7500 0.2500 0.5000
Pd 0.5000 0.5000 0.0000
W 0.3750 0.3922 0.7500
Sn 0.0000 0.0000 0.0000
Pd 0.2500 0.7500 0.5000
W 0.1422 0.6250 0.2500
W 0.6078 0.1250 0.2500
W 0.8750 0.8578 0.7500

Computed properties:
As for the density of states at the Fermi level: 4.8 states/eV per cell. The value obtained for the calculated formation energy is 3.53 eV/f.u. The magnetic moment comes out at 0.000 μB/f.u. The calculation puts the uncorrected energy at -7.8937 eV per atom.


ZnPt2 after structural relaxation, computed with PBE.

abc: 3.9646 4.7042 5.5284
angles: 103.13 90.00 114.92
Fractional coordinates of all 6 atoms:
Zn 0.8394 0.6788 0.1762
Pt 0.8291 0.6582 0.6766
Pt 0.5000 0.0000 0.5000
Pt 0.5000 0.0000 0.0000
Zn 0.1606 0.3212 0.8238
Pt 0.1709 0.3418 0.3234

Computed properties:
As for the density of states at the Fermi level: 4.0 states/eV per cell. The value obtained for the calculated formation energy is -1.20 eV/f.u. The magnetic moment comes out at 0.000 μB/f.u. The calculation puts the uncorrected energy at -4.8531 eV per atom.


DyEr2Tm6Th after structural relaxation, computed with PBE.

abc: 9.5320 8.6204 8.6204
angles: 117.15 94.35 94.35
Fractional coordinates of all 20 atoms:
Tm 0.9410 0.8783 0.2539
Tm 0.3173 0.9728 0.4251
Tm 0.3809 0.5054 0.2977
Tm 0.8809 0.2977 0.5054
Er 0.4543 0.8092 0.7072
Tm 0.1827 0.5749 0.0272
Tm 0.6191 0.4946 0.7023
Th 0.2500 0.4044 0.5956
Dy 0.2500 0.9767 0.0233
Dy 0.7500 0.0233 0.9767
Tm 0.8173 0.4251 0.9728
Er 0.9543 0.7072 0.8092
Tm 0.0590 0.1217 0.7461
Er 0.5457 0.1908 0.2928
Er 0.0457 0.2928 0.1908
Tm 0.5590 0.7461 0.1217
Tm 0.6827 0.0272 0.5749
Tm 0.1191 0.7023 0.4946
Tm 0.4410 0.2539 0.8783
Th 0.7500 0.5956 0.4044

Computed properties:
As for the density of states at the Fermi level: 28.6 states/eV per cell. The value obtained for the calculated formation energy is 1.45 eV/f.u. The magnetic moment comes out at 0.000 μB/f.u. The calculation puts the uncorrected energy at -4.6524 eV per atom.


Sr2LiAu2 after structural relaxation, computed with PBE.

abc: 8.1152 8.1152 4.3774
angles: 90.00 90.00 90.00
Fractional coordinates of all 10 atoms:
Sr 0.6700 0.8300 0.5000
Sr 0.1700 0.6700 0.5000
Au 0.6300 0.1300 0.0000
Li 0.5000 0.5000 0.0000
Au 0.8700 0.6300 0.0000
Au 0.1300 0.3700 0.0000
Sr 0.3300 0.1700 0.5000
Au 0.3700 0.8700 0.0000
Li 0.0000 0.0000 0.0000
Sr 0.8300 0.3300 0.5000

Computed properties:
As for the density of states at the Fermi level: 5.7 states/eV per cell. The value obtained for the calculated formation energy is -3.10 eV/f.u. The magnetic moment comes out at 0.000 μB/f.u. The calculation puts the uncorrected energy at -2.9871 eV per atom. The calculation puts the distance to the lowest polymorph of the same formula at 0.66 kcal/mol of atoms.


Ac16Nd7Sm6 after structural relaxation, computed with PBE.

abc: 12.0360 12.0360 12.0360
angles: 60.00 60.00 60.00
Fractional coordinates of all 29 atoms:
Ac 0.8753 0.3742 0.8753
Sm 0.2570 0.7430 0.2570
Sm 0.7430 0.2570 0.7430
Nd 0.0000 0.5000 0.0000
Ac 0.3536 0.3536 0.9392
Nd 0.5000 0.0000 0.0000
Ac 0.6258 0.1247 0.1247
Ac 0.8753 0.8753 0.8753
Ac 0.0608 0.6464 0.6464
Ac 0.9392 0.3536 0.3536
Nd 0.0000 0.0000 0.5000
Ac 0.3536 0.9392 0.3536
Sm 0.7430 0.2570 0.2570
Nd 0.0000 0.0000 0.0000
Ac 0.1247 0.1247 0.6258
Nd 0.5000 0.5000 0.0000
Sm 0.7430 0.7430 0.2570
Ac 0.6464 0.6464 0.6464
Ac 0.1247 0.6258 0.1247
Ac 0.3742 0.8753 0.8753
Nd 0.5000 0.0000 0.5000
Nd 0.0000 0.5000 0.5000
Sm 0.2570 0.7430 0.7430
Ac 0.1247 0.1247 0.1247
Sm 0.2570 0.2570 0.7430
Ac 0.6464 0.0608 0.6464
Ac 0.3536 0.3536 0.3536
Ac 0.6464 0.6464 0.0608
Ac 0.8753 0.8753 0.3742

Computed properties:
As for the density of states at the Fermi level: 40.0 states/eV per cell. The value obtained for the calculated formation energy is 5.90 eV/f.u. The magnetic moment comes out at 0.000 μB/f.u. The calculation puts the uncorrected energy at -4.1904 eV per atom.


Be2TeP after structural relaxation, computed with PBE.

abc: 4.3247 4.3247 4.3247
angles: 114.17 114.17 100.44
Fractional coordinates of all 4 atoms:
Be 0.0000 0.0000 0.0000
P 0.2500 0.7500 0.5000
Te 0.7500 0.2500 0.5000
Be 0.5000 0.5000 0.0000

Computed properties:
As for the uncorrected formation energy: 0.731 eV per atom. As for the density of states at the Fermi level: 1.5 states/eV per cell. The magnetic moment comes out at 0.000 μB/f.u. The calculation puts the uncorrected energy at -3.2698 eV per atom. The calculation puts the distance to the lowest polymorph of the same formula at 19.86 kcal/mol of atoms.


Be2CrHgAu after structural relaxation, computed with PBE.

abc: 4.3204 4.9716 4.3204
angles: 90.00 90.00 90.00
Fractional coordinates of all 5 atoms:
Be 0.0000 0.0000 0.5000
Hg 0.0000 0.0000 0.0000
Cr 0.0000 0.5000 0.0000
Au 0.5000 0.5000 0.5000
Be 0.5000 0.0000 0.0000

Computed properties:
As for the density of states at the Fermi level: 7.2 states/eV per cell. The value obtained for the calculated formation energy is 6.77 eV/f.u. The magnetic moment comes out at 0.327 μB/f.u. The calculation puts the uncorrected energy at -2.7770 eV per atom.


KAc4PrSe8 after structural relaxation, computed with PBE.

abc: 9.2492 9.2492 9.1136
angles: 59.51 59.51 60.00
Fractional coordinates of all 14 atoms:
Se 0.2302 0.7937 0.7459
Se 0.7627 0.2223 0.2523
Se 0.7627 0.7627 0.2523
Se 0.7584 0.7584 0.7248
Ac 0.6236 0.6236 0.1292
Ac 0.0035 0.4902 0.5028
K 0.3773 0.3773 0.8682
Se 0.2302 0.2302 0.7459
Ac 0.4902 0.0035 0.5028
Se 0.7937 0.2302 0.7459
Se 0.2367 0.2367 0.2898
Ac 0.0035 0.0035 0.5028
Pr 0.0050 0.0050 0.9850
Se 0.2223 0.7627 0.2523

Computed properties:
As for the uncorrected formation energy: -1.846 eV per atom. As for the density of states at the Fermi level: 0.0 states/eV per cell. The magnetic moment comes out at 0.000 μB/f.u. The calculation puts the uncorrected energy at -5.4312 eV per atom.